Record 1
# CaCr2Ir

A crystal of CaCr2Ir relaxed with PBEsol (SCAN, the Alexandria database).

## Properties
For the polymorph energy (0 for the lowest one), the calculation gives 318 meV per atom. Its total moment is 0.00 μB/cell. Its volume is 16.83 Å³ per atom. The value obtained for the calculated total energy is -115.83 eV/cell. Its formation energy is 0.42 eV per atom.

Cell: 2.784 4.106 5.891 Å, 90.00 90.00 90.00°
Fractional positions:
Ca 0.000 0.000 0.000
Cr 0.500 0.500 0.341
Cr 0.500 0.500 0.659
Ir 0.000 0.000 0.500

Record 2
# CaCr2Ir

A crystal of CaCr2Ir relaxed with PBEsol (SCAN, the Alexandria database).

## Properties
For the polymorph energy (0 for the lowest one), the calculation gives 679 meV per atom. Its total moment is 0.01 μB/cell. Its volume is 14.63 Å³ per atom. The value obtained for the calculated total energy is -114.39 eV/cell. Its formation energy is 0.78 eV per atom.

Cell: 5.056 5.056 2.635 Å, 90.00 90.00 119.67°
Fractional positions:
Ca 0.000 0.000 0.000
Cr 0.000 0.500 0.500
Cr 0.500 0.000 0.500
Ir 0.500 0.500 0.000

Record 3
# CaCr3Ir

A crystal of CaCr3Ir relaxed with PBEsol (SCAN, the Alexandria database).

## Properties
Its total moment is 0.01 μB/cell. Its volume is 13.83 Å³ per atom. The value obtained for the calculated total energy is -122.63 eV/cell. Its formation energy is 2.66 eV per atom.

Cell: 4.104 4.104 4.104 Å, 90.00 90.00 90.00°
Fractional positions:
Ca 0.000 0.000 0.000
Cr 0.000 0.000 0.500
Cr 0.000 0.500 0.000
Cr 0.500 0.000 0.000
Ir 0.500 0.500 0.500

Record 4
# Ca2CrIr

A crystal of Ca2CrIr relaxed with PBEsol (SCAN, the Alexandria database).

## Properties
Its total moment is 4.38 μB/cell. Its volume is 22.40 Å³ per atom. The value obtained for the calculated total energy is -107.18 eV/cell. Its formation energy is 0.41 eV per atom.

Cell: 9.745 9.745 9.745 Å, 19.44 19.44 19.44°
Fractional positions:
Ca 0.239 0.239 0.239
Ca 0.761 0.761 0.761
Cr 0.000 0.000 0.000
Ir 0.500 0.500 0.500

Record 5
# CaCr2Ir

A crystal of CaCr2Ir relaxed with PBEsol (SCAN, the Alexandria database).

## Properties
For the polymorph energy (0 for the lowest one), the calculation gives 0 meV per atom. Its total moment is 0.59 μB/cell. Its volume is 15.89 Å³ per atom. The value obtained for the calculated total energy is -117.11 eV/cell. Its formation energy is 0.11 eV per atom.

Cell: 4.479 4.479 4.479 Å, 60.00 60.00 60.00°
Fractional positions:
Ca 0.000 0.000 0.000
Cr 0.250 0.250 0.250
Cr 0.500 0.500 0.500
Ir 0.750 0.750 0.750

Record 6
# Ca2CrIrO6

A crystal of Ca2CrIrO6 relaxed with PBEsol (SCAN, the Alexandria database).

## Properties
Its total moment is 1.99 μB/cell. Its volume is 10.83 Å³ per atom. The value obtained for the calculated total energy is -338.85 eV/cell. The value obtained for the uncorrected formation energy is -2.323 eV per atom.

Cell: 5.274 5.446 9.195 Å, 90.00 124.94 90.00°
Fractional positions:
Ca 0.236 0.055 0.250
Ca 0.236 0.445 0.750
Ca 0.764 0.555 0.250
Ca 0.764 0.945 0.750
Cr 0.500 0.000 0.000
Cr 0.500 0.500 0.500
Ir 0.000 0.000 0.500
Ir 0.000 0.500 0.000
O 0.160 0.197 0.955
O 0.160 0.303 0.455
O 0.259 0.709 0.953
O 0.259 0.791 0.453
O 0.346 0.022 0.756
O 0.346 0.478 0.256
O 0.654 0.522 0.744
O 0.654 0.978 0.244
O 0.741 0.209 0.547
O 0.741 0.291 0.047
O 0.840 0.697 0.545
O 0.840 0.803 0.045

Record 7
# K2CaCr

A crystal of K2CaCr relaxed with PBEsol (SCAN, the Alexandria database).

## Properties
Its total moment is 5.31 μB/cell. Its volume is 39.50 Å³ per atom. The value obtained for the calculated total energy is -42.65 eV/cell. Its formation energy is 0.51 eV per atom.

Cell: 6.071 6.071 6.071 Å, 120.09 120.09 89.84°
Fractional positions:
K 0.000 0.000 0.000
K 0.750 0.250 0.500
Ca 0.500 0.500 0.000
Cr 0.250 0.750 0.500

Record 8
# KCaCr2

A crystal of KCaCr2 relaxed with PBEsol (SCAN, the Alexandria database).

## Properties
For the polymorph energy (0 for the lowest one), the calculation gives 222 meV per atom. Its total moment is 10.39 μB/cell. Its volume is 30.43 Å³ per atom. The value obtained for the calculated total energy is -52.01 eV/cell. Its formation energy is 0.69 eV per atom.

Cell: 3.713 3.713 8.826 Å, 90.00 90.00 90.00°
Fractional positions:
K 0.000 0.000 0.000
Ca 0.000 0.000 0.500
Cr 0.500 0.500 0.294
Cr 0.500 0.500 0.706

Record 9
# K2CaCr

A crystal of K2CaCr relaxed with PBEsol (SCAN, the Alexandria database).

## Properties
Its total moment is 5.37 μB/cell. Its volume is 40.03 Å³ per atom. The value obtained for the calculated total energy is -42.65 eV/cell. Its formation energy is 0.51 eV per atom.

Cell: 4.902 5.206 6.274 Å, 90.00 90.00 90.00°
Fractional positions:
K 0.000 0.000 0.000
K 0.500 0.500 0.000
Ca 0.000 0.500 0.500
Cr 0.500 0.000 0.500

Record 10
# KCaCr2

A crystal of KCaCr2 relaxed with PBEsol (SCAN, the Alexandria database).

## Properties
For the polymorph energy (0 for the lowest one), the calculation gives 0 meV per atom. Its total moment is 0.18 μB/cell. Its volume is 25.46 Å³ per atom. The value obtained for the calculated total energy is -52.90 eV/cell. Its formation energy is 0.47 eV per atom.

Cell: 3.271 3.271 9.517 Å, 90.00 90.00 90.00°
Fractional positions:
K 0.000 0.000 0.000
Ca 0.500 0.500 0.396
Cr 0.000 0.000 0.629
Cr 0.500 0.500 0.711

Record 11
# Ca2LaCr

A crystal of Ca2LaCr relaxed with PBEsol (SCAN, the Alexandria database).

## Properties
For the polymorph energy (0 for the lowest one), the calculation gives 76 meV per atom. Its total moment is 3.48 μB/cell. Its volume is 32.28 Å³ per atom. The value obtained for the calculated total energy is -79.57 eV/cell. Its formation energy is 0.31 eV per atom.

Cell: 10.933 10.933 10.933 Å, 19.64 19.64 19.64°
Fractional positions:
Ca 0.000 0.000 0.000
Ca 0.233 0.233 0.233
La 0.464 0.464 0.464
Cr 0.735 0.735 0.735

Record 12
# CaLaCr3

A crystal of CaLaCr3 relaxed with PBEsol (SCAN, the Alexandria database).

## Properties
Its total moment is 9.35 μB/cell. Its volume is 22.68 Å³ per atom. The value obtained for the calculated total energy is -101.04 eV/cell. Its formation energy is 1.38 eV per atom.

Cell: 4.840 4.840 4.840 Å, 90.00 90.00 90.00°
Fractional positions:
Ca 0.000 0.000 0.000
La 0.500 0.500 0.500
Cr 0.000 0.500 0.500
Cr 0.500 0.000 0.500
Cr 0.500 0.500 0.000